# Sm2Y4Sn3O2 PBE relaxed
data_Sm2Y4Sn3O2
_chemical_formula_sum 'Sm2 Y4 Sn3 O2'
_cell_length_a 4.670
_cell_length_b 4.670
_cell_length_c 13.087
_cell_angle_alpha 100.28
_cell_angle_beta 100.28
_cell_angle_gamma 90.00
_space_group_name_H-M_alt 'P 1'
_space_group_IT_number 1
_space_group_name_Hall 'P 1'
loop_
_atom_site_label
_atom_site_type_symbol
_atom_site_fract_x
_atom_site_fract_y
_atom_site_fract_z
Sm1 Sm 0.694 0.694 0.389
Y1 Y 0.583 0.083 0.165
Y2 Y 0.417 0.917 0.835
Y3 Y 0.917 0.417 0.835
O1 O 0.405 0.405 0.809
Sn1 Sn 0.000 0.000 0.000
Sm2 Sm 0.306 0.306 0.611
O2 O 0.595 0.595 0.191
Sn2 Sn 0.824 0.824 0.647
Y4 Y 0.083 0.583 0.165
Sn3 Sn 0.176 0.176 0.353
# - E_form (uncorrected): -1.54 eV/atom
# - Crystal system: tetragonal
# - Size of the total moment: 0.000 μB/atom
# - Space-group type: I4/mmm, No. 139
# - DOS at the Fermi energy: 7.70 states/eV/cell
# - V: 276.2 Å³/cell


# GeBiAu2 PBE relaxed
data_GeBiAu2
_chemical_formula_sum 'Ge1 Bi1 Au2'
_cell_length_a 3.480
_cell_length_b 3.480
_cell_length_c 7.141
_cell_angle_alpha 90.00
_cell_angle_beta 90.00
_cell_angle_gamma 90.00
_space_group_name_H-M_alt 'P 1'
_space_group_IT_number 1
_space_group_name_Hall 'P 1'
loop_
_atom_site_label
_atom_site_type_symbol
_atom_site_fract_x
_atom_site_fract_y
_atom_site_fract_z
Ge1 Ge 0.500 0.500 0.000
Au1 Au 0.000 0.000 0.211
Au2 Au 0.000 0.000 0.789
Bi1 Bi 0.500 0.500 0.500
# - Crystal system: tetragonal
# - ΔE_f: 0.07 eV per atom
# - Size of the total moment: 0.000 μB/atom
# - Space-group type: P4/mmm, No. 123
# - DOS at the Fermi energy: 1.36 states/eV/cell
# - Energy relative to the lowest polymorph listed for this composition: 79 meV/atom
# - V: 86.5 Å³/cell


# VAs2AuC PBE relaxed
data_VAs2AuC
_chemical_formula_sum 'V1 As2 Au1 C1'
_cell_length_a 4.446
_cell_length_b 4.104
_cell_length_c 4.446
_cell_angle_alpha 90.00
_cell_angle_beta 90.00
_cell_angle_gamma 90.00
_space_group_name_H-M_alt 'P 1'
_space_group_IT_number 1
_space_group_name_Hall 'P 1'
loop_
_atom_site_label
_atom_site_type_symbol
_atom_site_fract_x
_atom_site_fract_y
_atom_site_fract_z
As1 As 0.000 0.000 0.500
C1 C 0.000 0.000 0.000
V1 V 0.500 0.500 0.500
Au1 Au 0.000 0.500 0.000
As2 As 0.500 0.000 0.000
# - Crystal system: tetragonal
# - ΔE_f: 1.18 eV per atom
# - Size of the total moment: 0.001 μB/atom
# - Space-group type: P4/mmm, No. 123
# - DOS at the Fermi energy: 5.13 states/eV/cell
# - V: 81.1 Å³/cell


# SrY2Sb PBE relaxed
data_SrY2Sb
_chemical_formula_sum 'Sr1 Y2 Sb1'
_cell_length_a 6.737
_cell_length_b 6.737
_cell_length_c 6.737
_cell_angle_alpha 143.51
_cell_angle_beta 134.21
_cell_angle_gamma 59.92
_space_group_name_H-M_alt 'P 1'
_space_group_IT_number 1
_space_group_name_Hall 'P 1'
loop_
_atom_site_label
_atom_site_type_symbol
_atom_site_fract_x
_atom_site_fract_y
_atom_site_fract_z
Sr1 Sr 0.280 0.780 0.500
Y1 Y 0.713 0.213 0.500
Y2 Y 0.996 0.996 0.000
Sb1 Sb 0.512 0.512 0.000
# - E_form (uncorrected): -0.37 eV/atom
# - Crystal system: orthorhombic
# - Size of the total moment: 0.000 μB/atom
# - Space-group type: Imm2, No. 44
# - DOS at the Fermi energy: 3.72 states/eV/cell
# - V: 129.1 Å³/cell


# FeCoNi2H4 PBE relaxed
data_FeCoNi2H4
_chemical_formula_sum 'Fe2 Co2 Ni4 H8'
_cell_length_a 5.286
_cell_length_b 5.286
_cell_length_c 5.254
_cell_angle_alpha 119.80
_cell_angle_beta 119.80
_cell_angle_gamma 90.20
_space_group_name_H-M_alt 'P 1'
_space_group_IT_number 1
_space_group_name_Hall 'P 1'
loop_
_atom_site_label
_atom_site_type_symbol
_atom_site_fract_x
_atom_site_fract_y
_atom_site_fract_z
H1 H 0.256 0.244 0.491
H2 H 0.745 0.236 0.990
H3 H 0.256 0.244 0.009
Fe1 Fe 0.000 0.500 0.500
H4 H 0.744 0.756 0.991
Ni1 Ni 0.500 0.500 0.000
Ni2 Ni 0.000 0.000 0.500
Ni3 Ni 0.500 0.000 0.500
Co1 Co 0.500 0.500 0.500
H5 H 0.736 0.245 0.490
Fe2 Fe 0.000 0.500 0.000
H6 H 0.264 0.755 0.510
H7 H 0.744 0.756 0.509
H8 H 0.255 0.764 0.010
Ni4 Ni 0.500 0.000 0.000
Co2 Co 0.000 0.000 0.000
# - Energy: -5.0782 eV/atom
# - Crystal system: orthorhombic
# - Size of the total moment: 0.483 μB/atom
# - Space-group type: Imma, No. 74
# - DOS at the Fermi energy: 11.43 states/eV/cell
# - V: 104.3 Å³/cell


# LiPmNdCd PBE relaxed
data_LiPmNdCd
_chemical_formula_sum 'Li1 Pm1 Nd1 Cd1'
_cell_length_a 5.409
_cell_length_b 5.409
_cell_length_c 5.409
_cell_angle_alpha 60.00
_cell_angle_beta 60.00
_cell_angle_gamma 60.00
_space_group_name_H-M_alt 'P 1'
_space_group_IT_number 1
_space_group_name_Hall 'P 1'
loop_
_atom_site_label
_atom_site_type_symbol
_atom_site_fract_x
_atom_site_fract_y
_atom_site_fract_z
Pm1 Pm 0.500 0.500 0.500
Nd1 Nd 0.000 0.000 0.000
Cd1 Cd 0.750 0.750 0.750
Li1 Li 0.250 0.250 0.250
# - Crystal system: cubic
# - ΔE_f: -0.12 eV per atom
# - Size of the total moment: 0.096 μB/atom
# - Space-group type: F-43m, No. 216
# - DOS at the Fermi energy: 6.07 states/eV/cell
# - V: 111.9 Å³/cell